1.
First-principles (PBE-GGA) data for a relaxed Si2IrO4 crystal, as listed in OQMD via LeMat-Bulk.

extended XYZ file:
```
14
Lattice="0.0000 4.1448 4.1448 4.1448 0.0000 4.1448 4.1448 4.1448 0.0000" Properties=species:S:1:pos:R:3 pbc="T T T"
Si 0.0000 0.0000 0.0000
Si 2.0724 2.0724 0.0000
Si 2.0724 0.0000 2.0724
Si 0.0000 2.0724 2.0724
Ir 3.1086 3.1086 3.1086
Ir 5.1810 5.1810 5.1810
O 6.4200 3.9421 3.9421
O 1.8697 1.8697 1.8697
O 4.3475 4.3475 1.8697
O 4.3475 1.8697 4.3475
O 3.9421 6.4200 3.9421
O 3.9421 3.9421 6.4200
O 6.4200 6.4200 6.4200
O 1.8697 4.3475 4.3475
```

Summary:
total DFT energy (no corrections) = -6.54 eV/atom
space group = Fd-3m (227)

=====

2.
First-principles (PBE-GGA) data for a relaxed Sm2Ir2O5 crystal, as listed in OQMD via LeMat-Bulk.

extended XYZ file:
```
9
Lattice="3.6246 0.0000 0.0000 0.0000 3.6246 0.0000 0.0000 0.0000 9.5098" Properties=species:S:1:pos:R:3 pbc="T T T"
Sm 0.0000 0.0000 2.2273
Sm 0.0000 0.0000 7.2825
Ir 1.8123 1.8123 0.0000
Ir 1.8123 1.8123 4.7549
O 0.0000 0.0000 0.0000
O 0.0000 1.8123 3.5887
O 0.0000 1.8123 5.9211
O 1.8123 0.0000 3.5887
O 1.8123 0.0000 5.9211
```

Summary:
total DFT energy (no corrections) = -7.07 eV/atom
space group = P4/mmm (123)
offset from the most stable computed form = 433 meV/atom

=====

3.
First-principles (PBE-GGA) data for a relaxed Sm2Ir2O5 crystal, as listed in OQMD via LeMat-Bulk.

extended XYZ file:
```
9
Lattice="3.9433 0.0000 0.0000 0.0000 3.9433 0.0000 0.0000 0.0000 7.0808" Properties=species:S:1:pos:R:3 pbc="T T T"
Sm 0.0000 0.0000 0.0000
Sm 0.0000 0.0000 3.5404
Ir 1.9716 1.9716 1.3526
Ir 1.9716 1.9716 5.7282
O 0.0000 1.9716 1.7591
O 0.0000 1.9716 5.3217
O 1.9716 0.0000 1.7591
O 1.9716 0.0000 5.3217
O 1.9716 1.9716 3.5404
```

Summary:
total DFT energy (no corrections) = -7.50 eV/atom
space group = P4/mmm (123)
offset from the most stable computed form = 0 meV/atom

=====

4.
First-principles (PBE-GGA) data for a relaxed Sm2YIrO6 crystal, as listed in OQMD via LeMat-Bulk.

extended XYZ file:
```
20
Lattice="5.5813 0.0000 0.0000 0.0000 5.9368 0.0000 -5.1200 0.0000 7.9414" Properties=species:S:1:pos:R:3 pbc="T T T"
Sm -0.0454 0.4160 1.9669
Sm -2.6054 2.5524 5.9376
Sm 3.0667 3.3844 2.0038
Sm 0.5067 5.5208 5.9745
Y 2.7907 0.0000 0.0000
Y 0.2307 2.9684 3.9707
Ir -2.5600 0.0000 3.9707
Ir 0.0000 2.9684 0.0000
O -4.1596 1.1777 7.4455
O -1.5996 1.7907 3.4748
O -3.4595 4.1158 7.4413
O -0.8995 4.7894 3.4706
O -1.6668 0.3541 5.8317
O 0.8932 2.6143 1.8609
O -0.4318 3.3225 6.0805
O 2.1282 5.5827 2.1098
O 1.3608 1.1474 4.4709
O 3.9208 1.8210 0.5001
O 2.0609 4.1461 4.4667
O 4.6209 4.7591 0.4960
```

Summary:
total DFT energy (no corrections) = -8.11 eV/atom
space group = P2_1/c (14)

=====

5.
First-principles (PBE-GGA) data for a relaxed Sm3Zn3Ir2O12 crystal, as listed in OQMD via LeMat-Bulk.

extended XYZ file:
```
80
Lattice="-6.2806 6.2806 6.2806 6.2806 -6.2806 6.2806 6.2806 6.2806 -6.2806" Properties=species:S:1:pos:R:3 pbc="T T T"
Sm 3.1403 1.5701 0.0000
Sm 6.2806 3.1403 -1.5701
Sm 1.5701 0.0000 3.1403
Sm 7.8507 0.0000 3.1403
Sm 0.0000 3.1403 1.5701
Sm 3.1403 -1.5701 6.2806
Sm 3.1403 7.8507 0.0000
Sm 6.2806 3.1403 4.7104
Sm -1.5701 6.2806 3.1403
Sm 4.7104 6.2806 3.1403
Sm 0.0000 3.1403 7.8507
Sm 3.1403 4.7104 6.2806
Zn 9.4209 1.5701 0.0000
Zn 6.2806 -3.1403 4.7104
Zn 4.7104 6.2806 -3.1403
Zn 4.7104 0.0000 3.1403
Zn 3.1403 4.7104 0.0000
Zn 6.2806 3.1403 1.5701
Zn 0.0000 3.1403 4.7104
Zn 3.1403 1.5701 6.2806
Zn 1.5701 6.2806 3.1403
Zn 1.5701 0.0000 9.4209
Zn 0.0000 9.4209 1.5701
Zn -3.1403 4.7104 6.2806
Ir 0.0000 0.0000 0.0000
Ir 3.1403 3.1403 -3.1403
Ir 3.1403 -3.1403 3.1403
Ir 6.2806 0.0000 0.0000
Ir -3.1403 3.1403 3.1403
Ir 0.0000 6.2806 0.0000
Ir 0.0000 0.0000 6.2806
Ir 3.1403 3.1403 3.1403
O 1.8440 -0.3229 0.7314
O 7.5769 3.8717 -3.4632
O 8.1245 0.3229 0.7314
O 7.5769 -2.4089 3.4632
O 5.9576 -0.7314 1.8440
O 9.7438 -1.2963 2.4089
O 0.7314 1.8440 -0.3229
O 8.6895 2.8174 -1.2963
O 3.8717 3.4632 -1.2963
O 5.5492 1.8440 0.3229
O -0.3229 0.7314 1.8440
O 3.4632 -1.2963 3.8717
O 5.9576 5.5492 -1.8440
O 3.4632 1.2963 2.4089
O 3.8717 -3.4632 7.5769
O 5.5492 -1.8440 5.9576
O 2.4089 3.4632 1.2963
O 7.0120 4.4366 0.3229
O 3.4632 7.5769 -2.4089
O 5.9576 0.7314 4.4366
O 1.8440 5.9576 -0.7314
O 7.5769 2.4089 2.8174
O 1.2963 2.4089 3.4632
O 1.8440 0.3229 5.5492
O 4.4366 5.9576 0.7314
O 4.9842 3.8717 2.8174
O -1.2963 3.8717 3.4632
O 4.4366 0.3229 7.0120
O 0.3229 5.5492 1.8440
O 2.8174 -1.2963 8.6895
O -0.7314 1.8440 5.9576
O 3.8717 2.8174 4.9842
O 0.7314 8.1245 0.3229
O 2.4089 9.7438 -1.2963
O 2.8174 4.9842 3.8717
O 0.3229 0.7314 8.1245
O 2.8174 7.5769 2.4089
O 6.6035 5.5492 4.4366
O 0.7314 4.4366 5.9576
O 2.4089 2.8174 7.5769
O -2.4089 3.4632 7.5769
O 5.5492 4.4366 6.6035
O -3.4632 7.5769 3.8717
O 0.3229 7.0120 4.4366
O -1.2963 8.6895 2.8174
O -1.8440 5.9576 5.5492
O -1.2963 2.4089 9.7438
O 4.4366 6.6035 5.5492
```

Summary:
total DFT energy (no corrections) = -6.72 eV/atom
space group = Ia-3d (230)

=====

6.
First-principles (PBE-GGA) data for a relaxed Sn2Ir2O5 crystal, as listed in OQMD via LeMat-Bulk.

extended XYZ file:
```
9
Lattice="3.9638 0.0000 0.0000 0.0000 3.9638 0.0000 0.0000 0.0000 7.0205" Properties=species:S:1:pos:R:3 pbc="T T T"
Sn 0.0000 0.0000 0.0000
Sn 0.0000 0.0000 3.5103
Ir 1.9819 1.9819 1.3785
Ir 1.9819 1.9819 5.6420
O 0.0000 1.9819 1.7698
O 0.0000 1.9819 5.2507
O 1.9819 0.0000 1.7698
O 1.9819 0.0000 5.2507
O 1.9819 1.9819 3.5103
```

Summary:
total DFT energy (no corrections) = -6.10 eV/atom
space group = P4/mmm (123)
offset from the most stable computed form = 0 meV/atom

=====

7.
First-principles (PBE-GGA) data for a relaxed Sn2Ir2O5 crystal, as listed in OQMD via LeMat-Bulk.

extended XYZ file:
```
9
Lattice="3.4861 0.0000 0.0000 0.0000 3.4861 0.0000 0.0000 0.0000 9.3221" Properties=species:S:1:pos:R:3 pbc="T T T"
Sn 0.0000 0.0000 2.1276
Sn 0.0000 0.0000 7.1945
Ir 1.7430 1.7430 0.0000
Ir 1.7430 1.7430 4.6611
O 0.0000 0.0000 0.0000
O 0.0000 1.7430 3.4693
O 0.0000 1.7430 5.8529
O 1.7430 0.0000 3.4693
O 1.7430 0.0000 5.8529
```

Summary:
total DFT energy (no corrections) = -5.93 eV/atom
space group = P4/mmm (123)
offset from the most stable computed form = 169 meV/atom

=====

8.
First-principles (PBE-GGA) data for a relaxed SrIrO3 crystal, as listed in OQMD via LeMat-Bulk.

extended XYZ file:
```
20
Lattice="6.2575 0.0000 0.0000 0.0000 8.6774 0.0000 0.0000 0.0000 6.0811" Properties=species:S:1:pos:R:3 pbc="T T T"
Sr 0.0000 0.0000 0.0000
Sr 0.0000 4.3387 0.0000
Sr 3.1288 0.0000 3.0406
Sr 3.1288 4.3387 3.0406
Ir 0.0558 2.1694 2.7937
Ir 3.0730 6.5081 5.8342
Ir 3.1845 2.1694 0.2469
Ir 6.2017 6.5081 3.2874
O 0.9219 5.0733 3.8514
O 0.9219 7.9429 3.8514
O 1.4498 6.5081 0.5270
O 1.6789 2.1694 3.5675
O 2.2069 0.7345 0.8108
O 2.2069 3.6042 0.8108
O 4.0507 5.0733 5.2703
O 4.0507 7.9429 5.2703
O 4.5786 6.5081 2.5136
O 4.8077 2.1694 5.5541
O 5.3356 0.7345 2.2297
O 5.3356 3.6042 2.2297
```

Summary:
total DFT energy (no corrections) = -6.43 eV/atom
space group = Pnma (62)

=====

9.
First-principles (PBE-GGA) data for a relaxed Sr2IrO4 crystal, as listed in OQMD via LeMat-Bulk.

extended XYZ file:
```
28
Lattice="-2.7372 2.7372 12.9755 2.7372 -2.7372 12.9755 2.7372 2.7372 -12.9755" Properties=species:S:1:pos:R:3 pbc="T T T"
Sr 2.7372 1.3686 -5.1953
Sr 2.7372 1.3686 -1.2925
Sr 0.0000 1.3686 1.2925
Sr 0.0000 1.3686 5.1953
Sr 2.7372 1.3686 7.7803
Sr 2.7372 1.3686 11.6830
Sr 0.0000 1.3686 14.2680
Sr 0.0000 1.3686 18.1708
Ir 2.7372 -1.3686 9.7317
Ir 2.7372 1.3686 3.2439
Ir 0.0000 1.3686 9.7317
Ir 0.0000 4.1058 3.2439
O 2.7372 -1.3686 7.6518
O 3.7751 -0.3307 3.2439
O 1.0379 0.3307 3.2439
O 2.7372 -1.3686 11.8116
O 2.7372 1.3686 1.1640
O 1.0379 -0.3307 9.7317
O 1.0379 3.0679 -3.2439
O 2.7372 1.3686 5.3238
O 0.0000 1.3686 7.6518
O 1.6993 -0.3307 16.2194
O 1.6993 3.0679 3.2439
O 0.0000 1.3686 11.8116
O 0.0000 4.1058 1.1640
O 1.6993 2.4065 9.7317
O -1.0379 3.0679 9.7317
O 0.0000 4.1058 5.3238
```

Summary:
total DFT energy (no corrections) = -6.54 eV/atom
space group = I4_1/acd (142)
offset from the most stable computed form = 0 meV/atom

=====

10.
First-principles (PBE-GGA) data for a relaxed SrIr2O6 crystal, as listed in OQMD via LeMat-Bulk.

extended XYZ file:
```
18
Lattice="0.0000 4.9477 4.9477 4.9477 0.0000 4.9477 4.9477 4.9477 0.0000" Properties=species:S:1:pos:R:3 pbc="T T T"
Sr 1.2369 1.2369 1.2369
Sr 8.6585 8.6585 8.6585
Ir 4.9477 2.4739 2.4739
Ir 2.4739 4.9477 2.4739
Ir 2.4739 2.4739 4.9477
Ir 4.9477 4.9477 4.9477
O 3.7108 3.7108 1.6247
O 3.7108 1.6247 3.7108
O 5.7968 3.7108 3.7108
O 6.1846 6.1846 4.0986
O 6.1846 4.0986 6.1846
O 8.2707 6.1846 6.1846
O 1.6247 3.7108 3.7108
O 3.7108 5.7968 3.7108
O 3.7108 3.7108 5.7968
O 4.0986 6.1846 6.1846
O 6.1846 8.2707 6.1846
O 6.1846 6.1846 8.2707
```

Summary:
total DFT energy (no corrections) = -6.62 eV/atom
space group = Fd-3m (227)
offset from the most stable computed form = 102 meV/atom

=====

11.
First-principles (PBE-GGA) data for a relaxed SrIrO3 crystal, as listed in OQMD via LeMat-Bulk.

extended XYZ file:
```
10
Lattice="1.6275 -5.0820 0.0000 1.6275 5.0820 0.0000 0.0000 0.0000 7.4691" Properties=species:S:1:pos:R:3 pbc="T T T"
Sr 1.6275 2.5634 5.6018
Sr 1.6275 -2.5634 1.8673
Ir 0.0000 0.0000 0.0000
Ir 0.0000 0.0000 3.7345
O 1.6275 4.4120 1.8673
O 1.6275 1.2309 0.3372
O 1.6275 1.2309 3.3974
O 1.6275 -1.2309 4.0717
O 1.6275 -1.2309 7.1319
O 1.6275 -4.4120 5.6018
```

Summary:
total DFT energy (no corrections) = -6.71 eV/atom
space group = Cmcm (63)

=====

12.
First-principles (PBE-GGA) data for a relaxed SrIrO3 crystal, as listed in OQMD via LeMat-Bulk.

extended XYZ file:
```
30
Lattice="2.7908 -4.7992 0.0000 2.7908 4.7992 0.0000 -0.8215 0.0000 14.2456" Properties=species:S:1:pos:R:3 pbc="T T T"
Sr 2.1746 4.7461 10.6842
Sr 2.3912 1.5875 5.6436
Sr 2.7796 1.5875 1.4791
Sr 1.9804 -1.5875 12.7664
Sr 2.3688 -1.5875 8.6019
Sr 2.5854 -4.7461 3.5614
Ir 0.0000 0.0000 0.0000
Ir -0.4108 0.0000 7.1228
Ir 1.9840 1.5736 12.0820
Ir 2.3652 1.5736 9.2863
Ir 2.3948 -1.5736 4.9592
Ir 2.7760 -1.5736 2.1636
O 0.8902 2.2511 10.4857
O 0.2080 0.9477 12.8191
O 1.6381 3.4111 12.8437
O 1.2656 0.9466 7.7054
O 2.7111 3.4111 8.5247
O 0.6188 -0.9477 5.6963
O 1.6764 -0.9466 0.5826
O 2.1746 0.0347 10.6842
O 3.4590 2.2511 10.8827
O 1.3010 -2.2511 3.3629
O 2.5854 -0.0347 3.5614
O 3.0836 0.9466 13.6629
O 4.1412 0.9477 8.5493
O 2.0489 -3.4111 5.7209
O 3.4943 -0.9466 6.5401
O 3.1219 -3.4111 1.4019
O 4.5519 -0.9477 1.4265
O 3.8697 -2.2511 3.7599
```

Summary:
total DFT energy (no corrections) = -6.68 eV/atom
space group = C2/c (15)

=====

Q: Which formula does entry 1 have?
A: Si2IrO4